Record 1
DFT (GGA-PBE) results for a relaxed BaLiTl2Pt crystal.

The structure in CIF format:
```
data_BaLiTl2Pt
_chemical_formula_sum 'Ba1 Li1 Tl2 Pt1'
_cell_length_a 5.361
_cell_length_b 5.361
_cell_length_c 5.083
_cell_angle_alpha 90.00
_cell_angle_beta 90.00
_cell_angle_gamma 90.00
_symmetry_space_group_name_H-M 'P 1'
_symmetry_Int_Tables_number 1
_symmetry_space_group_name_Hall 'P 1'
loop_
_atom_site_label
_atom_site_type_symbol
_atom_site_fract_x
_atom_site_fract_y
_atom_site_fract_z
Ba1 Ba 0.000 0.000 0.000
Li1 Li 0.500 0.500 0.000
Tl1 Tl 0.000 0.500 0.500
Tl2 Tl 0.500 0.000 0.500
Pt1 Pt 0.500 0.500 0.500
```

Density: 8.50 g/cm³
ΔH_f (0 K): -293 meV per atom
Total moment: 0.00 μB/cell
DFT total energy: -16.07 eV per formula unit


Record 2
DFT (GGA-PBE) results for a relaxed Al2ZnRu crystal.

The structure in CIF format:
```
data_Al2ZnRu
_chemical_formula_sum 'Al2 Zn1 Ru1'
_cell_length_a 8.461
_cell_length_b 8.461
_cell_length_c 8.461
_cell_angle_alpha 19.76
_cell_angle_beta 19.76
_cell_angle_gamma 19.76
_symmetry_space_group_name_H-M 'P 1'
_symmetry_Int_Tables_number 1
_symmetry_space_group_name_Hall 'P 1'
loop_
_atom_site_label
_atom_site_type_symbol
_atom_site_fract_x
_atom_site_fract_y
_atom_site_fract_z
Al1 Al 0.245 0.245 0.245
Al2 Al 0.755 0.755 0.755
Zn1 Zn 0.000 0.000 0.000
Ru1 Ru 0.500 0.500 0.500
```

Density: 6.05 g/cm³
ΔH_f (0 K): -208 meV per atom
Total moment: 0.00 μB/cell
DFT total energy: -18.87 eV per formula unit


Record 3
DFT (GGA-PBE) results for a relaxed TaInPb2 crystal.

The structure in CIF format:
```
data_TaInPb2
_chemical_formula_sum 'Ta1 In1 Pb2'
_cell_length_a 3.262
_cell_length_b 4.779
_cell_length_c 6.378
_cell_angle_alpha 90.00
_cell_angle_beta 90.00
_cell_angle_gamma 90.00
_symmetry_space_group_name_H-M 'P 1'
_symmetry_Int_Tables_number 1
_symmetry_space_group_name_Hall 'P 1'
loop_
_atom_site_label
_atom_site_type_symbol
_atom_site_fract_x
_atom_site_fract_y
_atom_site_fract_z
Ta1 Ta 0.000 0.000 0.000
In1 In 0.000 0.000 0.500
Pb1 Pb 0.500 0.500 0.238
Pb2 Pb 0.500 0.500 0.762
```

Density: 11.86 g/cm³
ΔH_f (0 K): 530 meV per atom
Total moment: 0.00 μB/cell
DFT total energy: -19.89 eV per formula unit


Record 4
DFT (GGA-PBE) results for a relaxed KPmSeBr crystal.

The structure in CIF format:
```
data_KPmSeBr
_chemical_formula_sum 'K1 Pm1 Se1 Br1'
_cell_length_a 8.478
_cell_length_b 8.478
_cell_length_c 8.478
_cell_angle_alpha 28.71
_cell_angle_beta 28.71
_cell_angle_gamma 28.71
_symmetry_space_group_name_H-M 'P 1'
_symmetry_Int_Tables_number 1
_symmetry_space_group_name_Hall 'P 1'
loop_
_atom_site_label
_atom_site_type_symbol
_atom_site_fract_x
_atom_site_fract_y
_atom_site_fract_z
K1 K 0.000 0.000 0.000
Pm1 Pm 0.817 0.817 0.817
Se1 Se 0.417 0.417 0.417
Br1 Br 0.231 0.231 0.231
```

Formation energy (no corrections): -1.52 eV per atom
Density: 4.58 g/cm³
Total moment: 0.00 μB/cell
DFT total energy: -17.08 eV per formula unit


Record 5
DFT (GGA-PBE) results for a relaxed Dy2ErRh crystal.

The structure in CIF format:
```
data_Dy2ErRh
_chemical_formula_sum 'Dy8 Er4 Rh4'
_cell_length_a 7.141
_cell_length_b 9.467
_cell_length_c 6.263
_cell_angle_alpha 90.00
_cell_angle_beta 90.00
_cell_angle_gamma 90.00
_symmetry_space_group_name_H-M 'P 1'
_symmetry_Int_Tables_number 1
_symmetry_space_group_name_Hall 'P 1'
loop_
_atom_site_label
_atom_site_type_symbol
_atom_site_fract_x
_atom_site_fract_y
_atom_site_fract_z
Dy1 Dy 0.178 0.063 0.172
Dy2 Dy 0.178 0.437 0.172
Dy3 Dy 0.322 0.563 0.672
Dy4 Dy 0.322 0.937 0.672
Dy5 Dy 0.678 0.063 0.328
Dy6 Dy 0.678 0.437 0.328
Dy7 Dy 0.822 0.563 0.828
Dy8 Dy 0.822 0.937 0.828
Er1 Er 0.036 0.250 0.638
Er2 Er 0.464 0.750 0.138
Er3 Er 0.536 0.250 0.862
Er4 Er 0.964 0.750 0.362
Rh1 Rh 0.117 0.750 0.947
Rh2 Rh 0.383 0.250 0.447
Rh3 Rh 0.617 0.750 0.553
Rh4 Rh 0.883 0.250 0.053
```

E above lowest polymorph: 0.0 kJ/mol of atoms
Density: 9.34 g/cm³
ΔH_f (0 K): -536 meV per atom
Total moment: 0.00 μB/cell
DFT total energy: -23.26 eV per formula unit


Record 6
DFT (GGA-PBE) results for a relaxed PmCu2F6 crystal.

The structure in CIF format:
```
data_PmCu2F6
_chemical_formula_sum 'Pm1 Cu2 F6'
_cell_length_a 5.928
_cell_length_b 5.928
_cell_length_c 7.399
_cell_angle_alpha 124.56
_cell_angle_beta 124.56
_cell_angle_gamma 39.83
_symmetry_space_group_name_H-M 'P 1'
_symmetry_Int_Tables_number 1
_symmetry_space_group_name_Hall 'P 1'
loop_
_atom_site_label
_atom_site_type_symbol
_atom_site_fract_x
_atom_site_fract_y
_atom_site_fract_z
Pm1 Pm 0.000 0.000 0.000
Cu1 Cu 0.179 0.179 0.631
Cu2 Cu 0.821 0.821 0.369
F1 F 0.000 0.000 0.310
F2 F 0.000 0.000 0.690
F3 F 0.263 0.263 0.334
F4 F 0.368 0.368 0.950
F5 F 0.632 0.632 0.050
F6 F 0.737 0.737 0.666
```

Formation energy (no corrections): -2.53 eV per atom
Density: 4.83 g/cm³
Total moment: 1.00 μB/cell
DFT total energy: -46.98 eV per formula unit